1.
{
  "formula": "MnCd3P",
  "functional": "GGA-PBE",
  "state": "optimized geometry",
  "space_group": "Pm-3m (221)",
  "relative_energy_ev_per_fu": 1.187,
  "lattice_angstrom": [[5.100, 0.000, 0.000], [0.000, 5.100, 0.000], [0.000, 0.000, 5.100]],
  "species": ["Mn", "Cd", "Cd", "Cd", "P"],
  "frac_coords": [[0.000, 0.000, 0.000], [0.000, 0.000, 0.500], [0.000, 0.500, 0.000], [0.500, 0.000, 0.000], [0.500, 0.500, 0.500]]
}


2.
{
  "formula": "MnCdRe2P",
  "functional": "GGA-PBE",
  "state": "optimized geometry",
  "space_group": "P4/mmm (123)",
  "dft_energy_ev_per_atom": -6.66,
  "lattice_angstrom": [[4.386, 0.000, 0.000], [0.000, 4.386, 0.000], [0.000, 0.000, 4.683]],
  "species": ["Mn", "Cd", "Re", "Re", "P"],
  "frac_coords": [[0.000, 0.000, 0.000], [0.500, 0.500, 0.000], [0.000, 0.500, 0.500], [0.500, 0.000, 0.500], [0.500, 0.500, 0.500]]
}


3.
{
  "formula": "MnCdP2S",
  "functional": "GGA-PBE",
  "state": "optimized geometry",
  "space_group": "P4/mmm (123)",
  "formation_energy_uncorrected_ev_per_atom": 1.217,
  "relative_energy_ev_per_fu": 4.686,
  "lattice_angstrom": [[4.926, 0.000, 0.000], [0.000, 4.926, 0.000], [0.000, 0.000, 5.014]],
  "species": ["Mn", "Cd", "P", "P", "S"],
  "frac_coords": [[0.000, 0.000, 0.000], [0.500, 0.500, 0.500], [0.000, 0.500, 0.500], [0.500, 0.000, 0.500], [0.500, 0.500, 0.000]]
}


4.
{
  "formula": "MnCdP2S",
  "functional": "GGA-PBE",
  "state": "optimized geometry",
  "space_group": "P4/mmm (123)",
  "formation_energy_uncorrected_ev_per_atom": 0.279,
  "relative_energy_ev_per_fu": 0.000,
  "lattice_angstrom": [[4.203, 0.000, 0.000], [0.000, 4.203, 0.000], [0.000, 0.000, 5.396]],
  "species": ["Mn", "Cd", "P", "P", "S"],
  "frac_coords": [[0.000, 0.000, 0.000], [0.500, 0.500, 0.500], [0.000, 0.500, 0.000], [0.500, 0.000, 0.000], [0.000, 0.000, 0.500]]
}


5.
{
  "formula": "MnCdPS2",
  "functional": "GGA-PBE",
  "state": "optimized geometry",
  "space_group": "P4/mmm (123)",
  "formation_energy_uncorrected_ev_per_atom": 1.553,
  "relative_energy_ev_per_fu": 6.722,
  "lattice_angstrom": [[4.938, 0.000, 0.000], [0.000, 4.938, 0.000], [0.000, 0.000, 4.886]],
  "species": ["Mn", "Cd", "P", "S", "S"],
  "frac_coords": [[0.000, 0.000, 0.000], [0.500, 0.500, 0.500], [0.500, 0.500, 0.000], [0.000, 0.500, 0.500], [0.500, 0.000, 0.500]]
}


6.
{
  "formula": "MnCdPS2",
  "functional": "GGA-PBE",
  "state": "optimized geometry",
  "space_group": "P4/mmm (123)",
  "formation_energy_uncorrected_ev_per_atom": 0.208,
  "relative_energy_ev_per_fu": 0.000,
  "lattice_angstrom": [[4.658, 0.000, 0.000], [0.000, 4.658, 0.000], [0.000, 0.000, 4.417]],
  "species": ["Mn", "Cd", "P", "S", "S"],
  "frac_coords": [[0.000, 0.000, 0.000], [0.500, 0.500, 0.500], [0.000, 0.000, 0.500], [0.000, 0.500, 0.000], [0.500, 0.000, 0.000]]
}